The following is a DFT calculation (PBE+U) of a relaxed structure of Eu2W2O5. Values from VASP.

Geometry as Quantum ESPRESSO input:
```
&SYSTEM
  ibrav = 0, nat = 9, ntyp = 3
/
ATOMIC_SPECIES
Eu 151.96 Eu.upf
W 183.84 W.upf
O 16.00 O.upf
ATOMIC_POSITIONS crystal
Eu 0.0000 0.0000 0.0000
Eu 0.0000 0.0000 0.5000
W 0.5000 0.5000 0.2165
W 0.5000 0.5000 0.7835
O 0.5000 0.0000 0.2299
O 0.5000 0.0000 0.7701
O 0.0000 0.5000 0.2299
O 0.0000 0.5000 0.7701
O 0.5000 0.5000 0.5000
CELL_PARAMETERS angstrom
4.1440 0.0000 0.0000
0.0000 4.1440 0.0000
0.0000 0.0000 7.4327
```

Properties
Space group: P4/mmm, No. 123
Total energy (eV per atom): -8.64
Calculated volume (A^3/atom): 14.18
DOS at the Fermi energy (states/eV/atom): 2.399
Total magnetization (μB per formula unit): 4.88